# 1
# TaZn2Ni | the Alexandria database | PBE | relaxed
data_TaZn2Ni
_chemical_formula_sum 'Ta1 Zn2 Ni1'
_cell_length_a 4.313
_cell_length_b 4.313
_cell_length_c 4.313
_cell_angle_alpha 60.00
_cell_angle_beta 60.00
_cell_angle_gamma 60.00
_space_group_name_H-M_alt 'P 1'
_space_group_IT_number 1
_space_group_name_Hall 'P 1'
loop_
_atom_site_label
_atom_site_type_symbol
_atom_site_fract_x
_atom_site_fract_y
_atom_site_fract_z
Ta1 Ta 0.000 0.000 0.000
Zn1 Zn 0.250 0.250 0.250
Zn2 Zn 0.750 0.750 0.750
Ni1 Ni 0.500 0.500 0.500
# Uncorrected energy: -4.917 eV/atom
# D(E_F): 6.5 states/eV per cell

=====

# 2
# TaZn2Ni | the Alexandria database | PBE | relaxed
data_TaZn2Ni
_chemical_formula_sum 'Ta1 Zn2 Ni1'
_cell_length_a 4.986
_cell_length_b 4.986
_cell_length_c 2.640
_cell_angle_alpha 90.00
_cell_angle_beta 90.00
_cell_angle_gamma 115.91
_space_group_name_H-M_alt 'P 1'
_space_group_IT_number 1
_space_group_name_Hall 'P 1'
loop_
_atom_site_label
_atom_site_type_symbol
_atom_site_fract_x
_atom_site_fract_y
_atom_site_fract_z
Ta1 Ta 0.000 0.000 0.000
Zn1 Zn 0.000 0.500 0.500
Zn2 Zn 0.500 0.000 0.500
Ni1 Ni 0.500 0.500 0.000
# Uncorrected energy: -4.946 eV/atom
# D(E_F): 3.2 states/eV per cell

=====

# 3
# TaZn2Ni3 | the Alexandria database | PBE | relaxed
data_TaZn2Ni3
_chemical_formula_sum 'Ta1 Zn2 Ni3'
_cell_length_a 2.778
_cell_length_b 2.778
_cell_length_c 10.016
_cell_angle_alpha 90.00
_cell_angle_beta 90.00
_cell_angle_gamma 90.00
_space_group_name_H-M_alt 'P 1'
_space_group_IT_number 1
_space_group_name_Hall 'P 1'
loop_
_atom_site_label
_atom_site_type_symbol
_atom_site_fract_x
_atom_site_fract_y
_atom_site_fract_z
Ta1 Ta 0.000 0.000 0.000
Zn1 Zn 0.000 0.000 0.342
Zn2 Zn 0.000 0.000 0.658
Ni1 Ni 0.500 0.500 0.184
Ni2 Ni 0.500 0.500 0.500
Ni3 Ni 0.500 0.500 0.816
# Uncorrected energy: -5.528 eV/atom
# D(E_F): 3.9 states/eV per cell

=====

# 4
# Ta2ZnNi | the Alexandria database | PBE | relaxed
data_Ta2ZnNi
_chemical_formula_sum 'Ta2 Zn1 Ni1'
_cell_length_a 5.067
_cell_length_b 5.067
_cell_length_c 5.067
_cell_angle_alpha 136.07
_cell_angle_beta 136.07
_cell_angle_gamma 63.87
_space_group_name_H-M_alt 'P 1'
_space_group_IT_number 1
_space_group_name_Hall 'P 1'
loop_
_atom_site_label
_atom_site_type_symbol
_atom_site_fract_x
_atom_site_fract_y
_atom_site_fract_z
Ta1 Ta 0.000 0.000 0.000
Ta2 Ta 0.750 0.250 0.500
Zn1 Zn 0.250 0.750 0.500
Ni1 Ni 0.500 0.500 0.000
# Uncorrected energy: -7.625 eV/atom
# D(E_F): 5.0 states/eV per cell

=====

# 5
# TaZnNi2 | the Alexandria database | PBE | relaxed
data_TaZnNi2
_chemical_formula_sum 'Ta1 Zn1 Ni2'
_cell_length_a 2.746
_cell_length_b 2.799
_cell_length_c 6.906
_cell_angle_alpha 90.00
_cell_angle_beta 90.00
_cell_angle_gamma 90.00
_space_group_name_H-M_alt 'P 1'
_space_group_IT_number 1
_space_group_name_Hall 'P 1'
loop_
_atom_site_label
_atom_site_type_symbol
_atom_site_fract_x
_atom_site_fract_y
_atom_site_fract_z
Ta1 Ta 0.000 0.000 0.000
Zn1 Zn 0.000 0.000 0.500
Ni1 Ni 0.500 0.500 0.268
Ni2 Ni 0.500 0.500 0.732
# Uncorrected energy: -6.403 eV/atom
# D(E_F): 3.0 states/eV per cell

=====

# 6
# TaZnNi | the Alexandria database | PBE | relaxed
data_TaZnNi
_chemical_formula_sum 'Ta4 Zn4 Ni4'
_cell_length_a 6.816
_cell_length_b 6.816
_cell_length_c 3.891
_cell_angle_alpha 90.00
_cell_angle_beta 90.00
_cell_angle_gamma 90.00
_space_group_name_H-M_alt 'P 1'
_space_group_IT_number 1
_space_group_name_Hall 'P 1'
loop_
_atom_site_label
_atom_site_type_symbol
_atom_site_fract_x
_atom_site_fract_y
_atom_site_fract_z
Ta1 Ta 0.052 0.233 0.000
Ta2 Ta 0.233 0.948 0.500
Ta3 Ta 0.767 0.052 0.500
Ta4 Ta 0.948 0.767 0.000
Zn1 Zn 0.342 0.619 0.000
Zn2 Zn 0.381 0.342 0.500
Zn3 Zn 0.619 0.658 0.500
Zn4 Zn 0.658 0.381 0.000
Ni1 Ni 0.134 0.603 0.500
Ni2 Ni 0.397 0.134 0.000
Ni3 Ni 0.603 0.866 0.000
Ni4 Ni 0.866 0.397 0.500
# Uncorrected energy: -6.255 eV/atom
# D(E_F): 9.6 states/eV per cell

=====

# 7
# TaZn2Ni | the Alexandria database | PBE | relaxed
data_TaZn2Ni
_chemical_formula_sum 'Ta2 Zn4 Ni2'
_cell_length_a 5.532
_cell_length_b 5.532
_cell_length_c 5.532
_cell_angle_alpha 102.20
_cell_angle_beta 102.20
_cell_angle_gamma 125.27
_space_group_name_H-M_alt 'P 1'
_space_group_IT_number 1
_space_group_name_Hall 'P 1'
loop_
_atom_site_label
_atom_site_type_symbol
_atom_site_fract_x
_atom_site_fract_y
_atom_site_fract_z
Ta1 Ta 0.000 0.000 0.000
Ta2 Ta 0.750 0.250 0.500
Zn1 Zn 0.159 0.125 0.534
Zn2 Zn 0.375 0.841 0.966
Zn3 Zn 0.591 0.625 0.466
Zn4 Zn 0.875 0.409 0.034
Ni1 Ni 0.250 0.750 0.500
Ni2 Ni 0.500 0.500 0.000
# Uncorrected energy: -4.724 eV/atom
# D(E_F): 5.5 states/eV per cell

=====

# 8
# Ta2ZnNi | the Alexandria database | PBE | relaxed
data_Ta2ZnNi
_chemical_formula_sum 'Ta2 Zn1 Ni1'
_cell_length_a 2.816
_cell_length_b 2.816
_cell_length_c 7.714
_cell_angle_alpha 90.00
_cell_angle_beta 90.00
_cell_angle_gamma 90.00
_space_group_name_H-M_alt 'P 1'
_space_group_IT_number 1
_space_group_name_Hall 'P 1'
loop_
_atom_site_label
_atom_site_type_symbol
_atom_site_fract_x
_atom_site_fract_y
_atom_site_fract_z
Ta1 Ta 0.000 0.000 0.236
Ta2 Ta 0.000 0.000 0.764
Zn1 Zn 0.500 0.500 0.500
Ni1 Ni 0.500 0.500 0.000
# Uncorrected energy: -7.757 eV/atom
# D(E_F): 3.1 states/eV per cell

=====

# 9
# TaZn2Ni2 | the Alexandria database | PBE | relaxed
data_TaZn2Ni2
_chemical_formula_sum 'Ta2 Zn4 Ni4'
_cell_length_a 7.094
_cell_length_b 7.094
_cell_length_c 2.665
_cell_angle_alpha 90.00
_cell_angle_beta 90.00
_cell_angle_gamma 90.00
_space_group_name_H-M_alt 'P 1'
_space_group_IT_number 1
_space_group_name_Hall 'P 1'
loop_
_atom_site_label
_atom_site_type_symbol
_atom_site_fract_x
_atom_site_fract_y
_atom_site_fract_z
Ta1 Ta 0.000 0.000 0.000
Ta2 Ta 0.500 0.500 0.000
Zn1 Zn 0.122 0.378 0.000
Zn2 Zn 0.378 0.878 0.000
Zn3 Zn 0.622 0.122 0.000
Zn4 Zn 0.878 0.622 0.000
Ni1 Ni 0.177 0.677 0.500
Ni2 Ni 0.323 0.177 0.500
Ni3 Ni 0.677 0.823 0.500
Ni4 Ni 0.823 0.323 0.500
# Uncorrected energy: -5.292 eV/atom
# D(E_F): 6.5 states/eV per cell

=====

# 10
# TaZn2Ni | the Alexandria database | PBE | relaxed
data_TaZn2Ni
_chemical_formula_sum 'Ta1 Zn2 Ni1'
_cell_length_a 2.707
_cell_length_b 4.047
_cell_length_c 5.459
_cell_angle_alpha 90.00
_cell_angle_beta 104.21
_cell_angle_gamma 90.00
_space_group_name_H-M_alt 'P 1'
_space_group_IT_number 1
_space_group_name_Hall 'P 1'
loop_
_atom_site_label
_atom_site_type_symbol
_atom_site_fract_x
_atom_site_fract_y
_atom_site_fract_z
Ta1 Ta 0.000 0.000 0.000
Zn1 Zn 0.262 0.000 0.522
Zn2 Zn 0.654 0.500 0.309
Ni1 Ni 0.401 0.500 0.801
# Uncorrected energy: -5.102 eV/atom
# D(E_F): 1.5 states/eV per cell

=====

# 11
# TaZnNi | the Alexandria database | PBE | relaxed
data_TaZnNi
_chemical_formula_sum 'Ta2 Zn2 Ni2'
_cell_length_a 2.741
_cell_length_b 4.617
_cell_length_c 7.051
_cell_angle_alpha 101.06
_cell_angle_beta 98.65
_cell_angle_gamma 90.23
_space_group_name_H-M_alt 'P 1'
_space_group_IT_number 1
_space_group_name_Hall 'P 1'
loop_
_atom_site_label
_atom_site_type_symbol
_atom_site_fract_x
_atom_site_fract_y
_atom_site_fract_z
Ta1 Ta 0.160 0.293 0.130
Ta2 Ta 0.840 0.707 0.870
Zn1 Zn 0.231 0.745 0.504
Zn2 Zn 0.769 0.255 0.496
Ni1 Ni 0.390 0.184 0.791
Ni2 Ni 0.610 0.816 0.209
# Uncorrected energy: -6.410 eV/atom
# D(E_F): 4.0 states/eV per cell

=====

# 12
# TaZnNi3 | the Alexandria database | PBE | relaxed
data_TaZnNi3
_chemical_formula_sum 'Ta2 Zn2 Ni6'
_cell_length_a 6.917
_cell_length_b 6.917
_cell_length_c 4.455
_cell_angle_alpha 90.00
_cell_angle_beta 90.00
_cell_angle_gamma 140.22
_space_group_name_H-M_alt 'P 1'
_space_group_IT_number 1
_space_group_name_Hall 'P 1'
loop_
_atom_site_label
_atom_site_type_symbol
_atom_site_fract_x
_atom_site_fract_y
_atom_site_fract_z
Ta1 Ta 0.193 0.807 0.750
Ta2 Ta 0.807 0.193 0.250
Zn1 Zn 0.439 0.561 0.250
Zn2 Zn 0.561 0.439 0.750
Ni1 Ni 0.000 0.000 0.000
Ni2 Ni 0.000 0.000 0.500
Ni3 Ni 0.115 0.392 0.750
Ni4 Ni 0.392 0.115 0.250
Ni5 Ni 0.608 0.885 0.750
Ni6 Ni 0.885 0.608 0.250
# Uncorrected energy: -6.134 eV/atom
# D(E_F): 8.1 states/eV per cell

=====

How do the records compare in formation energy from the elements? In the order shown, they have 128 99 -237 65 -231 47 321 -67 -99 -57 -107 -40 meV/atom.